# 1
A geometry-optimized SeIO4 structure, computed with PBE.

The structure belongs to space group P2_1/c (No. 14); the cell edges are 5.0138, 4.8099 and 19.9092 Å and the angles 90.00°, 93.94° and 90.00°. The distinct sites, in fractional coordinates, are Se at (0.2478, 0.0710, 0.1038), I at (0.2652, 0.0550, 0.3452), O at (0.0476, 0.5882, 0.6587), O at (0.0995, 0.2358, 0.5458), O at (0.4188, 0.2141, 0.6680) and O at (0.4694, 0.6482, 0.5726).

The size of the total moment comes out at 0.167 μB/atom. As for the raw formation energy: -0.195 eV/atom. As for the electronic total energy: -4.339 eV/atom. The energy relative to the lowest polymorph listed for this composition is 26 meV per atom.

=====

# 2
A geometry-optimized SeI2O2 structure, computed with PBE.

The structure belongs to space group P4/mmm (No. 123); the cell edges are 5.7145, 5.7145 and 3.7128 Å and the angles 90.00°, 90.00° and 90.00°. The distinct sites, in fractional coordinates, are Se at (0.0000, 0.0000, 0.0000), I at (0.0000, 0.5000, 0.0000), O at (0.0000, 0.0000, 0.5000) and O at (0.5000, 0.5000, 0.5000).

The size of the total moment comes out at 0.000 μB/atom. As for the raw formation energy: 0.724 eV/atom. As for the electronic total energy: -2.577 eV/atom. The energy relative to the lowest polymorph listed for this composition is 555 meV per atom.

=====

# 3
A geometry-optimized SiSeIO2 structure, computed with PBE.

The structure belongs to space group P4/mmm (No. 123); the cell edges are 3.9199, 3.9199 and 7.4837 Å and the angles 90.00°, 90.00° and 90.00°. The distinct sites, in fractional coordinates, are Si at (0.0000, 0.0000, 0.0000), Se at (0.5000, 0.5000, 0.5000), I at (0.5000, 0.5000, 0.0000) and O at (0.0000, 0.5000, 0.5000).

The size of the total moment comes out at 0.152 μB/atom. As for the raw formation energy: 0.357 eV/atom. As for the electronic total energy: -3.718 eV/atom. The energy relative to the lowest polymorph listed for this composition is 785 meV per atom.

=====

# 4
A geometry-optimized SiSeIO2 structure, computed with PBE.

The structure belongs to space group P4/mmm (No. 123); the cell edges are 3.6999, 3.6999 and 6.2941 Å and the angles 90.00°, 90.00° and 90.00°. The distinct sites, in fractional coordinates, are Si at (0.0000, 0.0000, 0.0000), Se at (0.5000, 0.5000, 0.5000), I at (0.0000, 0.0000, 0.5000) and O at (0.0000, 0.5000, 0.0000).

The size of the total moment comes out at 0.000 μB/atom. As for the raw formation energy: -0.428 eV/atom. As for the electronic total energy: -4.503 eV/atom. The energy relative to the lowest polymorph listed for this composition is 0 meV per atom.

=====

# 5
A geometry-optimized SnSeI2O structure, computed with PBE.

The structure belongs to space group P4/mmm (No. 123); the cell edges are 5.9734, 5.9734 and 3.8786 Å and the angles 90.00°, 90.00° and 90.00°. The distinct sites, in fractional coordinates, are Sn at (0.0000, 0.0000, 0.0000), Se at (0.5000, 0.5000, 0.5000), I at (0.0000, 0.5000, 0.5000) and O at (0.5000, 0.5000, 0.0000).

The size of the total moment comes out at 0.000 μB/atom. As for the raw formation energy: 0.020 eV/atom. As for the electronic total energy: -3.089 eV/atom. The energy relative to the lowest polymorph listed for this composition is 0 meV per atom.

=====

# 6
A geometry-optimized SnSeI2O structure, computed with PBE.

The structure belongs to space group P4/mmm (No. 123); the cell edges are 6.0359, 6.0359 and 3.9916 Å and the angles 90.00°, 90.00° and 90.00°. The distinct sites, in fractional coordinates, are Sn at (0.0000, 0.0000, 0.0000), Se at (0.5000, 0.5000, 0.5000), I at (0.0000, 0.5000, 0.0000) and O at (0.0000, 0.0000, 0.5000).

The size of the total moment comes out at 0.284 μB/atom. As for the raw formation energy: 0.027 eV/atom. As for the electronic total energy: -3.082 eV/atom. The energy relative to the lowest polymorph listed for this composition is 7 meV per atom.